(1)
DFT (PBE) results for an optimized crystal structure of Li2MgAl6.

a = 5.473 Å, b = 5.473 Å, c = 5.463 Å
α = 92.91°, β = 92.91°, γ = 92.59°
Element x y z (fractional)
Li 0.163 0.163 0.164
Li 0.837 0.837 0.836
Mg 0.500 0.500 0.500
Al 0.000 0.334 0.667
Al 0.000 0.666 0.333
Al 0.333 0.667 0.000
Al 0.334 0.000 0.667
Al 0.666 0.000 0.333
Al 0.667 0.333 0.000

Computed properties:
**Volume**: 18.11 Å³/atom
**DOS at the Fermi energy**: 4.872 states/eV/cell
**Total energy**: -3.11 eV/atom
**Density**: 2.0 g/cm³
**Formation energy from the elements**: -0.0111 eV per atom

=====

(2)
DFT (PBE) results for an optimized crystal structure of Li3Mg3Al5.

a = 9.299 Å, b = 9.299 Å, c = 2.861 Å
α = 90.00°, β = 90.00°, γ = 120.00°
Element x y z (fractional)
Li 0.000 0.156 0.000
Li 0.156 0.000 0.000
Li 0.844 0.844 0.000
Mg 0.000 0.409 0.500
Mg 0.409 0.000 0.500
Mg 0.591 0.591 0.500
Al 0.000 0.671 0.000
Al 0.329 0.329 0.000
Al 0.333 0.667 0.000
Al 0.667 0.333 0.000
Al 0.671 0.000 0.000

Computed properties:
**Volume**: 19.48 Å³/atom
**DOS at the Fermi energy**: 4.293 states/eV/cell
**Total energy**: -2.46 eV/atom
**Density**: 1.8 g/cm³
**Formation energy from the elements**: 0.2003 eV per atom

=====

(3)
DFT (PBE) results for an optimized crystal structure of Li2MgAl.

a = 5.985 Å, b = 5.985 Å, c = 5.985 Å
α = 103.06°, β = 103.06°, γ = 123.24°
Element x y z (fractional)
Li 0.114 0.625 0.989
Li 0.375 0.364 0.489
Li 0.636 0.125 0.011
Li 0.875 0.886 0.511
Mg 0.250 0.750 0.500
Mg 0.500 0.500 0.000
Al 0.000 0.000 0.000
Al 0.750 0.250 0.500

Computed properties:
**Volume**: 19.72 Å³/atom
**DOS at the Fermi energy**: 2.847 states/eV/cell
**Total energy**: -2.14 eV/atom
**Density**: 1.4 g/cm³
**Formation energy from the elements**: 0.1527 eV per atom

=====

(4)
DFT (PBE) results for an optimized crystal structure of Li3MgAl.

a = 4.587 Å, b = 5.808 Å, c = 7.392 Å
α = 90.00°, β = 108.17°, γ = 90.00°
Element x y z (fractional)
Li 0.117 0.004 0.235
Li 0.117 0.496 0.235
Li 0.301 0.250 0.602
Li 0.699 0.750 0.398
Li 0.883 0.504 0.765
Li 0.883 0.996 0.765
Mg 0.500 0.250 0.006
Mg 0.500 0.750 0.994
Al 0.298 0.750 0.596
Al 0.702 0.250 0.404

Computed properties:
**Volume**: 18.71 Å³/atom
**DOS at the Fermi energy**: 3.583 states/eV/cell
**Total energy**: -2.25 eV/atom
**Relative energy among the computed polymorphs**: 0.000 eV/atom
**Density**: 1.3 g/cm³
**Formation energy from the elements**: -0.0326 eV per atom

=====

> Which formula does entry 1 have?

Li2MgAl6

=====

> Which of these has the lowest density?

Li3MgAl

=====

> Number 1 is which compound?

Li2MgAl6

=====

Copy entry 2 word for word.
DFT (PBE) results for an optimized crystal structure of Li3Mg3Al5.

a = 9.299 Å, b = 9.299 Å, c = 2.861 Å
α = 90.00°, β = 90.00°, γ = 120.00°
Element x y z (fractional)
Li 0.000 0.156 0.000
Li 0.156 0.000 0.000
Li 0.844 0.844 0.000
Mg 0.000 0.409 0.500
Mg 0.409 0.000 0.500
Mg 0.591 0.591 0.500
Al 0.000 0.671 0.000
Al 0.329 0.329 0.000
Al 0.333 0.667 0.000
Al 0.667 0.333 0.000
Al 0.671 0.000 0.000

Computed properties:
**Volume**: 19.48 Å³/atom
**DOS at the Fermi energy**: 4.293 states/eV/cell
**Total energy**: -2.46 eV/atom
**Density**: 1.8 g/cm³
**Formation energy from the elements**: 0.2003 eV per atom